Compound: ZnHg2Ru
Source: the Alexandria database
Functional: meta-GGA SCAN
Structure: PBEsol geometry

Properties
Its calculated formation energy is 1.389 eV per formula unit. The calculation puts the density of states at the Fermi level at 2.28 states/eV per cell.

abc: 2.925 2.925 9.577
angles: 81.22 81.22 60.00
Fractional positions:
Hg1 0.993 0.993 0.020
Hg2 0.759 0.759 0.724
Ru1 0.507 0.507 0.480
Zn1 0.241 0.241 0.276



Compound: Li2VFeP2O8F2
Source: the Alexandria database
Functional: meta-GGA SCAN
Structure: PBEsol geometry

Properties
The uncorrected formation energy comes out at -2.579 eV/atom. The calculation puts the density of states at the Fermi level at 5.47 states/eV per cell.

abc: 5.118 5.328 7.287
angles: 106.86 108.79 98.42
Fractional positions:
Li1 0.734 0.378 0.808
Li2 0.266 0.622 0.192
V1 0.000 0.000 0.000
Fe1 0.000 0.000 0.500
P1 0.319 0.640 0.762
P2 0.681 0.360 0.238
O1 0.635 0.773 0.922
O2 0.365 0.227 0.078
O3 0.244 0.775 0.602
O4 0.756 0.225 0.398
O5 0.319 0.340 0.670
O6 0.681 0.660 0.330
O7 0.879 0.336 0.112
O8 0.121 0.664 0.888
F1 0.135 0.936 0.259
F2 0.865 0.064 0.741



Compound: BaTeP
Source: the Alexandria database
Functional: meta-GGA SCAN
Structure: PBEsol geometry

Properties
The uncorrected formation energy comes out at -0.448 eV/atom. The calculation puts the density of states at the Fermi level at 3.47 states/eV per cell.

abc: 5.147 5.147 5.147
angles: 60.00 60.00 60.00
Fractional positions:
P1 0.750 0.750 0.750
Te1 0.000 0.000 0.000
Ba1 0.500 0.500 0.500



Compound: CoReSe2
Source: the Alexandria database
Functional: meta-GGA SCAN
Structure: PBEsol geometry

Properties
The uncorrected formation energy comes out at 0.834 eV/atom. The calculation puts the density of states at the Fermi level at 2.50 states/eV per cell. The calculation puts the energy relative to the lowest polymorph listed for this composition at 0.6464 eV per atom.

abc: 3.015 2.989 7.871
angles: 90.00 90.00 120.28
Fractional positions:
Co1 0.500 0.000 0.500
Re1 0.500 0.000 0.000
Se1 0.000 0.000 0.739
Se2 0.000 0.000 0.261



Compound: Si2Ru2Se
Source: the Alexandria database
Functional: meta-GGA SCAN
Structure: PBEsol geometry

Properties
The uncorrected formation energy comes out at -0.234 eV/atom. The calculation puts the density of states at the Fermi level at 2.83 states/eV per cell.

abc: 3.508 3.508 6.506
angles: 105.64 105.64 90.00
Fractional positions:
Ru1 0.384 0.384 0.767
Ru2 0.616 0.616 0.233
Si1 0.250 0.750 0.500
Si2 0.750 0.250 0.500
Se1 0.000 0.000 0.000



Compound: CaLaTe2
Source: the Alexandria database
Functional: meta-GGA SCAN
Structure: PBEsol geometry

Properties
The uncorrected formation energy comes out at -1.751 eV/atom. The calculation puts the density of states at the Fermi level at 1.65 states/eV per cell. The calculation puts the energy relative to the lowest polymorph listed for this composition at 0.0060 eV per atom.

abc: 4.447 4.447 7.839
angles: 73.52 73.52 60.00
Fractional positions:
Ca1 0.000 0.000 0.000
Te1 0.747 0.747 0.760
Te2 0.253 0.253 0.240
La1 0.500 0.500 0.500



Compound: MnTcRh2
Source: the Alexandria database
Functional: meta-GGA SCAN
Structure: PBEsol geometry

Properties
Its calculated formation energy is -0.471 eV per formula unit. The calculation puts the density of states at the Fermi level at 3.80 states/eV per cell. The calculation puts the energy relative to the lowest polymorph listed for this composition at 0.1199 eV per atom.

abc: 2.634 3.706 5.316
angles: 90.00 90.00 90.00
Fractional positions:
Mn1 0.500 0.500 0.754
Rh1 0.000 0.000 0.985
Rh2 0.500 0.500 0.256
Tc1 0.000 0.000 0.506



Compound: AlCCl3
Source: the Alexandria database
Functional: meta-GGA SCAN
Structure: PBEsol geometry

Properties
The uncorrected formation energy comes out at 0.434 eV/atom. The calculation puts the density of states at the Fermi level at 5.45 states/eV per cell.

abc: 4.637 4.637 4.637
angles: 90.00 90.00 90.00
Fractional positions:
C1 0.500 0.500 0.500
Al1 0.000 0.000 0.000
Cl1 0.000 0.500 0.000
Cl2 0.000 0.000 0.500
Cl3 0.500 0.000 0.000



Compound: InFeNi
Source: the Alexandria database
Functional: meta-GGA SCAN
Structure: PBEsol geometry

Properties
Its calculated formation energy is 0.235 eV per formula unit. The calculation puts the density of states at the Fermi level at 1.68 states/eV per cell. The calculation puts the energy relative to the lowest polymorph listed for this composition at 0.0000 eV per atom.

abc: 2.945 2.945 5.229
angles: 106.35 106.35 90.00
Fractional positions:
Fe1 0.979 0.979 0.959
In1 0.670 0.670 0.340
Ni1 0.350 0.350 0.701



Compound: TlAsRh2
Source: the Alexandria database
Functional: meta-GGA SCAN
Structure: PBEsol geometry

Properties
Its calculated formation energy is -0.015 eV per formula unit. The calculation puts the density of states at the Fermi level at 2.75 states/eV per cell.

abc: 3.012 3.012 7.655
angles: 90.00 90.00 90.00
Fractional positions:
Tl1 0.000 0.000 0.464
Rh1 0.000 0.000 0.991
Rh2 0.500 0.500 0.223
As1 0.500 0.500 0.822



Compound: LaY2Cl
Source: the Alexandria database
Functional: meta-GGA SCAN
Structure: PBEsol geometry

Properties
The uncorrected formation energy comes out at 0.042 eV/atom. The calculation puts the density of states at the Fermi level at 6.01 states/eV per cell. The calculation puts the energy relative to the lowest polymorph listed for this composition at 0.2880 eV per atom.

abc: 5.446 5.446 5.446
angles: 60.00 60.00 60.00
Fractional positions:
Y1 0.000 0.000 0.000
Y2 0.750 0.750 0.750
Cl1 0.500 0.500 0.500
La1 0.250 0.250 0.250



Compound: KGa3Ir
Source: the Alexandria database
Functional: meta-GGA SCAN
Structure: PBEsol geometry

Properties
Its calculated formation energy is -1.894 eV per formula unit. The calculation puts the density of states at the Fermi level at 3.60 states/eV per cell. The calculation puts the energy relative to the lowest polymorph listed for this composition at 0.0000 eV per atom.

abc: 4.820 4.820 4.820
angles: 90.00 90.00 90.00
Fractional positions:
K1 0.500 0.500 0.500
Ir1 0.000 0.000 0.000
Ga1 0.000 0.500 0.000
Ga2 0.000 0.000 0.500
Ga3 0.500 0.000 0.000